Record 1
Here is a relaxed structure of Li3ThTl4 from Alexandria via LeMat-Bulk. Energies are from GGA-PBE.

a b c (Å): 9.4498 9.4498 9.4498
angles (deg): 30.20 30.20 30.20
Closest atoms and distances in Å follow each position.
Element x y z (fractional)
Li1 0.0000 0.0000 0.0000  8 Tl 2.94-3.02
Li2 0.2560 0.2560 0.2560  7 Tl 2.97-3.12
Li3 0.7440 0.7440 0.7440  7 Tl 2.97-3.12
Th1 0.5000 0.5000 0.5000  8 Tl 3.24-3.48
Tl1 0.1089 0.1089 0.1089  4 Li 2.94-2.97, 3 Th 3.24
Tl2 0.3713 0.3713 0.3713  7 Li 3.02-3.12
Tl3 0.6287 0.6287 0.6287  7 Li 3.02-3.12
Tl4 0.8911 0.8911 0.8911  4 Li 2.94-2.97, 3 Th 3.24

Properties
calculated total energy: -3.01 eV per atom
SG: R-3m
calculated formation energy: -0.1800 eV/atom



Record 2
Here is a relaxed structure of Li2Tm2ThTl2 from Alexandria via LeMat-Bulk. Energies are from GGA-PBE.

a b c (Å): 9.2507 9.2507 9.2507
angles (deg): 30.35 30.35 30.35
Closest atoms and distances in Å follow each position.
Element x y z (fractional)
Li1 0.0877 0.0877 0.0877  3 Tl 2.80, 3 Tm 3.10
Li2 0.9123 0.9123 0.9123  3 Tl 2.80, 3 Tm 3.10
Tm1 0.3700 0.3700 0.3700  3 Li 3.10, 4 Tl 3.18-3.45, 3 Tm 3.40, 1 Th 3.44
Tm2 0.6300 0.6300 0.6300  3 Li 3.10, 4 Tl 3.18-3.45, 3 Tm 3.40, 1 Th 3.44
Th1 0.5000 0.5000 0.5000  6 Tl 3.40, 2 Tm 3.44, 6 Li 3.49
Tl1 0.2395 0.2395 0.2395  3 Li 2.80
Tl2 0.7605 0.7605 0.7605  3 Li 2.80

Properties
calculated total energy: -3.66 eV per atom
SG: R-3m
calculated formation energy: -0.1012 eV/atom



Record 3
Here is a relaxed structure of LiTmThTl from Alexandria via LeMat-Bulk. Energies are from GGA-PBE.

a b c (Å): 7.5348 7.5348 7.5348
angles (deg): 90.00 90.00 90.00
Closest atoms and distances in Å follow each position.
Element x y z (fractional)
Li1 0.0000 0.0000 0.0000  4 Tm 3.26, 4 Th 3.26
Li2 0.0000 0.5000 0.5000  4 Tm 3.26, 4 Th 3.26
Li3 0.5000 0.0000 0.5000  4 Tm 3.26, 4 Th 3.26
Li4 0.5000 0.5000 0.0000  4 Th 3.26, 4 Tm 3.26
Tm1 0.2500 0.2500 0.7500  4 Tl 3.26, 4 Li 3.26
Tm2 0.2500 0.7500 0.2500  4 Tl 3.26, 4 Li 3.26
Tm3 0.7500 0.2500 0.2500  4 Tl 3.26, 4 Li 3.26
Tm4 0.7500 0.7500 0.7500  4 Tl 3.26, 4 Li 3.26
Th1 0.2500 0.2500 0.2500  4 Tl 3.26, 4 Li 3.26
Th2 0.2500 0.7500 0.7500  4 Tl 3.26, 4 Li 3.26
Th3 0.7500 0.2500 0.7500  4 Tl 3.26, 4 Li 3.26
Th4 0.7500 0.7500 0.2500  4 Tl 3.26, 4 Li 3.26
Tl1 0.0000 0.0000 0.5000  4 Th 3.26, 4 Tm 3.26
Tl2 0.0000 0.5000 0.0000  4 Th 3.26, 4 Tm 3.26
Tl3 0.5000 0.0000 0.0000  4 Th 3.26, 4 Tm 3.26
Tl4 0.5000 0.5000 0.5000  4 Th 3.26, 4 Tm 3.26

Properties
calculated total energy: -4.06 eV per atom
SG: F-43m
calculated formation energy: -0.0195 eV/atom



Record 4
Here is a relaxed structure of LiThTlZn from Alexandria via LeMat-Bulk. Energies are from GGA-PBE.

a b c (Å): 7.2681 7.2681 7.2681
angles (deg): 90.00 90.00 90.00
Closest atoms and distances in Å follow each position.
Element x y z (fractional)
Li1 0.0000 0.0000 0.0000  4 Tl 3.15, 4 Zn 3.15
Li2 0.0000 0.5000 0.5000  4 Tl 3.15, 4 Zn 3.15
Li3 0.5000 0.0000 0.5000  4 Tl 3.15, 4 Zn 3.15
Li4 0.5000 0.5000 0.0000  4 Tl 3.15, 4 Zn 3.15
Th1 0.0000 0.0000 0.5000  4 Tl 3.15, 4 Zn 3.15
Th2 0.0000 0.5000 0.0000  4 Tl 3.15, 4 Zn 3.15
Th3 0.5000 0.0000 0.0000  4 Tl 3.15, 4 Zn 3.15
Th4 0.5000 0.5000 0.5000  4 Tl 3.15, 4 Zn 3.15
Tl1 0.2500 0.2500 0.7500  4 Li 3.15, 4 Th 3.15
Tl2 0.2500 0.7500 0.2500  4 Li 3.15, 4 Th 3.15
Tl3 0.7500 0.2500 0.2500  4 Li 3.15, 4 Th 3.15
Tl4 0.7500 0.7500 0.7500  4 Th 3.15, 4 Li 3.15
Zn1 0.2500 0.2500 0.2500  4 Th 3.15, 4 Li 3.15
Zn2 0.2500 0.7500 0.7500  4 Th 3.15, 4 Li 3.15
Zn3 0.7500 0.2500 0.7500  4 Th 3.15, 4 Li 3.15
Zn4 0.7500 0.7500 0.2500  4 Th 3.15, 4 Li 3.15

Properties
calculated total energy: -3.36 eV per atom
SG: F-43m
calculated formation energy: -0.1158 eV/atom



Record 5
Here is a relaxed structure of LiTmTh2 from Alexandria via LeMat-Bulk. Energies are from GGA-PBE.

a b c (Å): 3.4715 3.4715 9.5413
angles (deg): 90.00 90.00 90.00
Closest atoms and distances in Å follow each position.
Element x y z (fractional)
Li1 0.0000 0.0000 0.0000  8 Th 3.32, 4 Li 3.47
Tm1 0.0000 0.0000 0.5000  4 Tm 3.47, 8 Th 3.53
Th1 0.5000 0.5000 0.2336  4 Li 3.32, 4 Th 3.47, 4 Tm 3.53
Th2 0.5000 0.5000 0.7664  4 Li 3.32, 4 Th 3.47, 4 Tm 3.53

Properties
calculated total energy: -5.16 eV per atom
excess energy over the best structure of this formula in the dataset: 0.014 eV/atom
SG: P4/mmm
calculated formation energy: 0.1504 eV/atom



Record 6
Here is a relaxed structure of LiTm2Th from Alexandria via LeMat-Bulk. Energies are from GGA-PBE.

a b c (Å): 3.6033 3.6033 8.5614
angles (deg): 90.00 90.00 90.00
Closest atoms and distances in Å follow each position.
Element x y z (fractional)
Li1 0.0000 0.0000 0.0000  8 Tm 3.21
Tm1 0.5000 0.5000 0.2276  4 Li 3.21, 4 Th 3.45
Tm2 0.5000 0.5000 0.7724  4 Li 3.21, 4 Th 3.45
Th1 0.0000 0.0000 0.5000  8 Tm 3.45, 4 Th 3.60

Properties
calculated total energy: -4.51 eV per atom
excess energy over the best structure of this formula in the dataset: 0.000 eV/atom
SG: P4/mmm
calculated formation energy: 0.0613 eV/atom